Be2Re | SCAN | PBEsol geometry

Values from the calculation:
- energy relative to the lowest polymorph listed for this composition (eV/f.u.) = 0.861
- energy relative to the elements (eV per atom) = -0.136
- N(E_F) (states/eV/f.u.) = 0.82
- magnetic moment (μB/atom) = 0.000
- mass density (kg/m³) = 10955

Geometry as POSCAR:
```
Be2Re
1.0
4.1481 -1.5981 0.0000
4.1481 1.5981 0.0000
-1.5608 0.0000 4.6700
Be Re
4 2
Cartesian
0.0000 0.0000 0.0000
-0.5773 0.0000 2.3261
1.6778 0.0000 3.1052
5.1527 0.0000 1.6842
2.7234 0.0000 0.9144
4.0880 0.0000 3.8727
```

Be2Re | SCAN | PBEsol geometry

Values from the calculation:
- energy relative to the lowest polymorph listed for this composition (eV/f.u.) = 0.000
- energy relative to the elements (eV per atom) = -0.423
- N(E_F) (states/eV/f.u.) = 1.00
- magnetic moment (μB/atom) = 0.000
- mass density (kg/m³) = 11676

Geometry as POSCAR:
```
Be2Re
1.0
4.3467 0.0000 0.0000
-2.1734 3.7644 0.0000
0.0000 0.0000 14.2005
Be Re
16 8
Cartesian
-1.0867 1.8822 0.0000
-1.0867 1.8822 7.1003
0.0000 1.2320 3.5501
-1.1064 3.1484 3.5501
1.0670 0.6160 10.6504
0.0000 2.5096 1.7796
0.0000 2.5096 5.3207
2.1734 0.0000 0.0000
2.1734 0.0000 7.1003
1.0867 1.8822 0.0000
1.0867 1.8822 7.1003
2.1734 1.2548 8.8798
2.1734 1.2548 12.4209
1.1064 3.1484 3.5501
3.2798 0.6160 10.6504
2.1734 2.5324 10.6504
0.0000 0.0000 1.3423
0.0000 0.0000 5.7580
0.0000 0.0000 8.4425
0.0000 0.0000 12.8582
0.0000 2.5096 9.3384
0.0000 2.5096 11.9623
2.1734 1.2548 2.2382
2.1734 1.2548 4.8621
```

Be4Re3 | SCAN | PBEsol geometry

Values from the calculation:
- energy relative to the lowest polymorph listed for this composition (eV/f.u.) = 0.000
- energy relative to the elements (eV per atom) = -0.020
- N(E_F) (states/eV/f.u.) = 3.39
- magnetic moment (μB/atom) = 0.000
- mass density (kg/m³) = 12869

Geometry as POSCAR:
```
Be4Re3
1.0
-1.3752 1.3752 10.1441
1.3752 -1.3752 10.1441
1.3752 1.3752 -10.1441
Be Re
4 3
Cartesian
0.0000 0.0000 1.5691
0.0000 0.0000 7.4733
0.0000 0.0000 12.8149
0.0000 0.0000 18.7190
0.0000 0.0000 4.1776
0.0000 0.0000 10.1441
0.0000 0.0000 16.1106
```

Number 3 is which compound? Be4Re3